{"formula": "Cs3AgC", "functional": "SCAN", "state": "single point on PBEsol structure", "cell": [[6.176, 0.000, 0.000], [0.000, 6.176, 0.000], [0.000, 0.000, 6.176]], "species": ["Cs", "Cs", "Cs", "Ag", "C"], "fractional_positions": [[0.000, 0.000, 0.500], [0.000, 0.500, 0.000], [0.500, 0.000, 0.000], [0.500, 0.500, 0.500], [0.000, 0.000, 0.000]], "space_group": "Pm-3m", "e_form_mev_per_atom": 840, "m_tot_mub_per_cell": 2.140}